Entry from Alexandria: NiPBr2 after structural relaxation (PBE).

Results
Calculated density ... 5012 kg/m3
Uncorrected formation energy ... 48.9 kJ/mol of atoms

Cell: 5.205 3.346 5.267 Å, 90.00 115.69 90.00°
Space group P2/m (No. 10)
Unique sites:
Ni1 0.000 0.000 0.000 (multiplicity 1)
P1 0.500 0.000 0.500 (multiplicity 1)
Br1 0.184 0.500 0.813 (multiplicity 2)


Entry from Alexandria: Ni3PBr after structural relaxation (PBE).

Results
Calculated density ... 5645 kg/m3
Uncorrected formation energy ... 102.3 kJ/mol of atoms

Cell: 4.387 4.387 4.387 Å, 90.00 90.00 90.00°
Space group Pm-3m (No. 221)
Unique sites:
Ni1 0.000 0.000 0.500 (multiplicity 3)
P1 0.500 0.500 0.500 (multiplicity 1)
Br1 0.000 0.000 0.000 (multiplicity 1)


Entry from Alexandria: NiPBr4 after structural relaxation (PBE).

Results
Calculated density ... 3989 kg/m3
Uncorrected formation energy ... 132.9 kJ/mol of atoms

Cell: 8.800 8.800 8.800 Å, 90.00 90.00 90.00°
Space group F-43m (No. 216)
Unique sites:
Ni1 0.000 0.000 0.000 (multiplicity 4)
P1 0.250 0.250 0.750 (multiplicity 4)
Br1 0.126 0.126 0.374 (multiplicity 16)


Entry from Alexandria: NiP2Br after structural relaxation (PBE).

Results
Calculated density ... 2909 kg/m3
Uncorrected formation energy ... 24.3 kJ/mol of atoms

Cell: 3.197 8.073 8.870 Å, 90.00 90.00 90.00°
Space group Cmm2 (No. 35)
Unique sites:
Ni1 0.000 0.000 0.000 (multiplicity 2)
P1 0.000 0.000 0.662 (multiplicity 2)
P2 0.000 0.500 0.822 (multiplicity 2)
Br1 0.000 0.500 0.199 (multiplicity 2)


Entry from Alexandria: NiPBr2 after structural relaxation (PBE).

Results
Calculated density ... 4248 kg/m3
Uncorrected formation energy ... 62.8 kJ/mol of atoms

Cell: 3.633 3.633 14.778 Å, 90.00 90.00 90.00°
Space group I-4m2 (No. 119)
Unique sites:
Ni1 0.000 0.000 0.000 (multiplicity 2)
P1 0.000 0.500 0.750 (multiplicity 2)
Br1 0.000 0.000 0.500 (multiplicity 2)
Br2 0.000 0.500 0.250 (multiplicity 2)


Entry from Alexandria: NiP2Br after structural relaxation (PBE).

Results
Calculated density ... 4852 kg/m3
Uncorrected formation energy ... 8.3 kJ/mol of atoms

Cell: 6.009 3.467 6.888 Å, 90.00 107.00 90.00°
Space group Cm (No. 8)
Unique sites:
Ni1 0.000 0.000 0.000 (multiplicity 2)
P1 0.230 0.500 0.190 (multiplicity 2)
P2 0.458 0.000 0.375 (multiplicity 2)
Br1 0.253 0.000 0.762 (multiplicity 2)


Entry from Alexandria: NiP2Br after structural relaxation (PBE).

Results
Calculated density ... 4575 kg/m3
Uncorrected formation energy ... -4.2 kJ/mol of atoms

Cell: 6.748 3.372 7.166 Å, 90.00 116.81 90.00°
Space group C2/m (No. 12)
Unique sites:
Ni1 0.000 0.000 0.000 (multiplicity 2)
P1 0.129 0.500 0.862 (multiplicity 4)
Br1 0.000 0.000 0.500 (multiplicity 2)


Entry from Alexandria: NiP2Br after structural relaxation (PBE).

Results
Calculated density ... 3765 kg/m3
Uncorrected formation energy ... 46.0 kJ/mol of atoms

Cell: 3.358 3.358 7.842 Å, 90.00 90.00 90.00°
Space group P4/mmm (No. 123)
Unique sites:
Ni1 0.000 0.000 0.000 (multiplicity 1)
P1 0.000 0.500 0.500 (multiplicity 2)
Br1 0.500 0.500 0.000 (multiplicity 1)